1) A plane-wave DFT calculation with PBE was carried out for a geometry-optimized Ta3ReIr structure.

Structure (POSCAR):
```
Ta3ReIr
1.0
-4.471 0.989 -1.330
0.460 -2.934 -3.731
-1.592 -3.627 2.656
Ta Re Ir
3 1 1
direct
0.000 0.000 0.500
0.500 0.000 0.000
0.000 0.500 0.000
0.000 0.000 0.000
0.500 0.500 0.500
```

Size of the total moment: 0.00 μB/cell
Space-group type: No. 221

2) A plane-wave DFT calculation with PBE was carried out for a geometry-optimized Ta3ReIr structure.

Structure (POSCAR):
```
Ta3ReIr
1.0
4.761 0.000 0.000
0.000 4.761 0.000
0.000 0.000 4.761
Re Ta Ir
1 3 1
direct
0.500 0.500 0.500
0.500 0.000 0.000
0.000 0.000 0.500
0.000 0.500 0.000
0.000 0.000 0.000
```

Size of the total moment: 0.00 μB/cell
Space-group type: No. 221

So which one wins? Going from most stable to least: 1), 2).